1.
Pr7MgIn4 | PBE | relaxed

abc: 6.0063 9.4319 8.0583
angles: 67.29 68.12 71.43
Positions (direct):
Pr 0.8097 0.8761 0.5044
Pr 0.1903 0.1239 0.4956
Pr 0.0766 0.5899 0.2570
Pr 0.9234 0.4101 0.7430
Pr 0.2511 0.7132 0.7847
Pr 0.5000 0.0000 0.0000
Pr 0.7489 0.2868 0.2153
Mg 0.0000 0.0000 0.0000
In 0.5323 0.3165 0.6189
In 0.4677 0.6835 0.3811
In 0.6798 0.6597 0.9806
In 0.3202 0.3403 0.0194

Output
- formation enthalpy at 0 K (eV/atom) = -0.18
- final energy (eV/atom) = -4.010

=====

2.
Pr2MgIn | PBE | relaxed

abc: 4.0708 5.4081 5.4081
angles: 90.00 90.00 90.00
Positions (direct):
Pr 0.0000 0.0000 0.5000
Pr 0.0000 0.5000 0.0000
Mg 0.5000 0.0000 0.0000
In 0.5000 0.5000 0.5000

Output
- formation enthalpy at 0 K (eV/atom) = -0.32
- final energy (eV/atom) = -3.789

=====

3.
Pr2Mg2In3 | PBE | relaxed

abc: 4.7490 7.7849 10.6587
angles: 90.00 102.87 90.00
Positions (direct):
Pr 0.1540 0.2500 0.3080
Pr 0.8460 0.7500 0.6920
Pr 0.9501 0.2500 0.9002
Pr 0.0499 0.7500 0.0998
Mg 0.6911 0.9442 0.3822
Mg 0.3089 0.0558 0.6178
Mg 0.3089 0.4442 0.6178
Mg 0.6911 0.5558 0.3822
In 0.2222 0.7500 0.4445
In 0.7778 0.2500 0.5555
In 0.5623 0.4343 0.1246
In 0.4377 0.5657 0.8754
In 0.4377 0.9343 0.8754
In 0.5623 0.0657 0.1246

Output
- formation enthalpy at 0 K (eV/atom) = -0.38
- final energy (eV/atom) = -3.379

=====

4.
PrMg4In4 | PBE | relaxed

abc: 6.8637 6.8637 9.8981
angles: 90.00 90.00 90.00
Positions (direct):
Pr 0.0000 0.0000 0.0000
Pr 0.5000 0.5000 0.5000
Mg 0.2244 0.5000 0.9196
Mg 0.7756 0.5000 0.9196
Mg 0.5000 0.7756 0.0804
Mg 0.5000 0.2244 0.0804
Mg 0.0000 0.7244 0.4196
Mg 0.0000 0.2756 0.4196
Mg 0.2756 0.0000 0.5804
Mg 0.7244 0.0000 0.5804
In 0.5000 0.7780 0.7867
In 0.5000 0.2220 0.7867
In 0.7780 0.5000 0.2133
In 0.2220 0.5000 0.2133
In 0.2780 0.0000 0.2867
In 0.7220 0.0000 0.2867
In 0.0000 0.2780 0.7133
In 0.0000 0.7220 0.7133

Output
- formation enthalpy at 0 K (eV/atom) = -0.10
- final energy (eV/atom) = -2.560

=====

5.
PrMg4In | PBE | relaxed

abc: 6.0441 6.0441 6.0441
angles: 60.00 60.00 60.00
Positions (direct):
Pr 0.2500 0.2500 0.2500
Mg 0.6252 0.6251 0.1246
Mg 0.6252 0.1246 0.6251
Mg 0.6252 0.6251 0.6251
Mg 0.1246 0.6251 0.6251
In 0.0000 0.0000 0.0000

Output
- formation enthalpy at 0 K (eV/atom) = -0.03
- energy above the lowest structure with this stoichiometry (meV per atom) = 88
- final energy (eV/atom) = -2.348

=====

6.
Pr2Mg3In4 | PBE | relaxed

abc: 6.4347 8.5179 9.1577
angles: 90.00 110.57 90.00
Positions (direct):
Pr 0.1030 0.5986 0.2060
Pr 0.8970 0.4014 0.7940
Pr 0.3970 0.0986 0.7940
Pr 0.6030 0.9014 0.2060
Mg 0.0000 0.0000 0.0000
Mg 0.5000 0.5000 0.0000
Mg 0.5167 0.7500 0.5334
Mg 0.9833 0.2500 0.4666
Mg 0.4833 0.2500 0.4666
Mg 0.0167 0.7500 0.5334
In 0.6885 0.7500 0.8770
In 0.8115 0.2500 0.1230
In 0.3115 0.2500 0.1230
In 0.1885 0.7500 0.8770
In 0.1724 0.9780 0.3447
In 0.8276 0.0220 0.6553
In 0.3276 0.4780 0.6553
In 0.6724 0.5220 0.3447

Output
- formation enthalpy at 0 K (eV/atom) = -0.32
- final energy (eV/atom) = -3.133

=====

7.
Pr3Mg2In | PBE | relaxed

abc: 3.9029 3.9029 11.7925
angles: 90.00 90.00 90.00
Positions (direct):
Pr 0.0000 0.0000 0.0000
Pr 0.0000 0.0000 0.6658
Pr 0.0000 0.0000 0.3342
Mg 0.5000 0.5000 0.8361
Mg 0.5000 0.5000 0.1639
In 0.5000 0.5000 0.5000

Output
- formation enthalpy at 0 K (eV/atom) = -0.23
- energy above the lowest structure with this stoichiometry (meV per atom) = 15
- final energy (eV/atom) = -3.613

=====

8.
Pr12MgIn3 | PBE | relaxed

abc: 5.0402 5.0402 20.1021
angles: 90.00 90.00 90.00
Positions (direct):
Pr 0.5000 0.5000 0.0000
Pr 0.5000 0.5000 0.2496
Pr 0.5000 0.5000 0.5000
Pr 0.5000 0.5000 0.7504
Pr 0.5000 0.0000 0.1266
Pr 0.5000 0.0000 0.3749
Pr 0.5000 0.0000 0.6251
Pr 0.5000 0.0000 0.8734
Pr 0.0000 0.5000 0.1266
Pr 0.0000 0.5000 0.3749
Pr 0.0000 0.5000 0.6251
Pr 0.0000 0.5000 0.8734
Mg 0.0000 0.0000 0.0000
In 0.0000 0.0000 0.2503
In 0.0000 0.0000 0.5000
In 0.0000 0.0000 0.7497

Output
- formation enthalpy at 0 K (eV/atom) = -0.21
- final energy (eV/atom) = -4.410

=====

9.
PrMg11In | PBE | relaxed

abc: 5.9454 7.7913 7.8493
angles: 81.85 67.75 68.02
Positions (direct):
Pr 0.0000 0.0000 0.0000
Mg 0.2856 0.2120 0.2125
Mg 0.7144 0.7880 0.7875
Mg 0.5019 0.7880 0.2125
Mg 0.4981 0.2120 0.7875
Mg 0.3485 0.6482 0.6475
Mg 0.6515 0.3518 0.3525
Mg 0.0040 0.3518 0.6475
Mg 0.9960 0.6482 0.3525
Mg 0.0000 0.5000 0.0000
Mg 0.5000 0.0000 0.5000
Mg 0.0000 0.0000 0.5000
In 0.5000 0.5000 0.0000

Output
- formation enthalpy at 0 K (eV/atom) = -0.08
- final energy (eV/atom) = -2.012

=====

10.
Pr5MgIn6 | PBE | relaxed

abc: 5.4260 7.7667 9.4449
angles: 114.28 106.69 90.00
Positions (direct):
Pr 0.6689 0.1689 0.3377
Pr 0.3348 0.3348 0.6696
Pr 0.0000 0.5000 0.0000
Pr 0.6652 0.6652 0.3304
Pr 0.3311 0.8311 0.6623
Mg 0.0000 0.0000 0.0000
In 0.8406 0.6021 0.6813
In 0.8406 0.0792 0.6813
In 0.5000 0.7684 0.0000
In 0.5000 0.2316 0.0000
In 0.1594 0.9208 0.3187
In 0.1594 0.3979 0.3187

Output
- formation enthalpy at 0 K (eV/atom) = -0.43
- final energy (eV/atom) = -3.924

=====

11.
Pr3MgIn | PBE | relaxed

abc: 5.2825 8.5787 8.5787
angles: 119.99 90.00 90.00
Positions (direct):
Pr 0.2500 0.8036 0.1964
Pr 0.7500 0.1964 0.8036
Pr 0.2500 0.8035 0.6072
Pr 0.7500 0.1965 0.3928
Pr 0.2500 0.3928 0.1965
Pr 0.7500 0.6072 0.8035
Mg 0.0000 0.0000 0.0000
Mg 0.5000 0.0000 0.0000
In 0.2500 0.3334 0.6666
In 0.7500 0.6666 0.3334

Output
- formation enthalpy at 0 K (eV/atom) = 0.00
- energy above the lowest structure with this stoichiometry (meV per atom) = 230
- final energy (eV/atom) = -3.738

=====

12.
Pr2MgIn2 | PBE | relaxed

abc: 5.0525 6.2566 10.4313
angles: 93.48 75.98 66.19
Positions (direct):
Pr 0.7010 0.2465 0.3514
Pr 0.8994 0.2722 0.9291
Pr 0.2990 0.7535 0.6486
Pr 0.1006 0.7278 0.0709
Mg 0.5806 0.1590 0.6798
Mg 0.4194 0.8410 0.3202
In 0.0435 0.3239 0.5892
In 0.6551 0.8251 0.8647
In 0.9565 0.6761 0.4108
In 0.3449 0.1749 0.1353

Output
- formation enthalpy at 0 K (eV/atom) = -0.40
- final energy (eV/atom) = -3.726

=====

13.
Pr4MgIn3 | PBE | relaxed

abc: 5.4837 5.4834 8.8275
angles: 108.09 108.09 90.04
Positions (direct):
Pr 0.3748 0.3748 0.7498
Pr 0.6252 0.6252 0.2502
Pr 0.1252 0.1252 0.2502
Pr 0.8748 0.8748 0.7498
Mg 0.5000 0.0000 0.0000
In 0.0000 0.5000 0.0000
In 0.7473 0.2473 0.4946
In 0.2527 0.7527 0.5054

Output
- formation enthalpy at 0 K (eV/atom) = -0.41
- final energy (eV/atom) = -4.023

=====

14.
Pr2MgIn5 | PBE | relaxed

abc: 6.6495 6.6495 6.6495
angles: 90.79 119.54 119.54
Positions (direct):
Pr 0.5000 0.2779 0.7779
Pr 0.5000 0.7779 0.2779
Mg 0.0000 0.7773 0.7773
In 0.5002 0.7779 0.7779
In 0.0000 0.7779 0.2777
In 0.0000 0.2777 0.7779
In 0.4998 0.2777 0.2777
In 0.0000 0.2779 0.2779

Output
- formation enthalpy at 0 K (eV/atom) = -0.44
- final energy (eV/atom) = -3.550

=====

15.
PrMg4In | PBE | relaxed

abc: 4.7086 7.9909 8.2462
angles: 90.00 90.00 90.00
Positions (direct):
Pr 0.0000 0.6383 0.7500
Pr 0.0000 0.3617 0.2500
Mg 0.0000 0.0000 0.5000
Mg 0.0000 0.0000 0.0000
Mg 0.5000 0.9521 0.7500
Mg 0.5000 0.0479 0.2500
Mg 0.5000 0.6852 0.0492
Mg 0.5000 0.3148 0.9508
Mg 0.5000 0.6852 0.4508
Mg 0.5000 0.3148 0.5492
In 0.0000 0.2410 0.7500
In 0.0000 0.7590 0.2500

Output
- formation enthalpy at 0 K (eV/atom) = -0.12
- energy above the lowest structure with this stoichiometry (meV per atom) = 0
- final energy (eV/atom) = -2.436

=====

16.
PrMgIn | PBE | relaxed

abc: 3.7944 5.0296 5.0296
angles: 120.00 90.00 90.00
Positions (direct):
Pr 0.6666 0.6667 0.3333
Mg 0.1659 0.0000 0.0000
In 0.1675 0.3333 0.6667

Output
- formation enthalpy at 0 K (eV/atom) = -0.37
- final energy (eV/atom) = -3.403

=====

17.
PrMg2In3 | PBE | relaxed

abc: 4.6073 4.6564 7.4147
angles: 108.30 90.00 90.00
Positions (direct):
Pr 0.0000 0.0000 0.0000
Mg 0.0000 0.6752 0.3505
Mg 0.0000 0.3248 0.6495
In 0.5000 0.1721 0.3442
In 0.5000 0.5000 0.0000
In 0.5000 0.8279 0.6558

Output
- formation enthalpy at 0 K (eV/atom) = -0.30
- energy above the lowest structure with this stoichiometry (meV per atom) = 0
- final energy (eV/atom) = -3.001

=====

18.
Pr2MgIn | PBE | relaxed

abc: 5.5182 5.5182 5.5182
angles: 60.00 60.00 60.00
Positions (direct):
Pr 0.0000 0.0000 0.0000
Pr 0.5000 0.5000 0.5000
Mg 0.7500 0.7500 0.7500
In 0.2500 0.2500 0.2500

Output
- formation enthalpy at 0 K (eV/atom) = -0.33
- final energy (eV/atom) = -3.805

=====

19.
PrMg6In6 | PBE | relaxed

abc: 6.1669 6.1669 9.7337
angles: 90.00 90.00 120.03
Positions (direct):
Pr 0.0000 0.0000 0.0000
Mg 0.0000 0.5000 0.7561
Mg 0.5000 0.0000 0.7561
Mg 0.5000 0.5000 0.7561
Mg 0.5000 0.0000 0.2439
Mg 0.0000 0.5000 0.2439
Mg 0.5000 0.5000 0.2439
In 0.0000 0.0000 0.6529
In 0.0000 0.0000 0.3471
In 0.3333 0.6667 0.0000
In 0.6667 0.3333 0.0000
In 0.3334 0.6666 0.5000
In 0.6666 0.3334 0.5000

Output
- formation enthalpy at 0 K (eV/atom) = -0.16
- energy above the lowest structure with this stoichiometry (meV per atom) = 10
- final energy (eV/atom) = -2.524

=====

20.
Pr8MgIn2 | PBE | relaxed

abc: 5.1299 8.3889 9.2233
angles: 109.44 106.15 90.00
Positions (direct):
Pr 0.4014 0.5413 0.8029
Pr 0.6822 0.9399 0.3644
Pr 0.8560 0.7933 0.7121
Pr 0.9456 0.2689 0.8912
Pr 0.1440 0.2067 0.2879
Pr 0.3178 0.0601 0.6356
Pr 0.5986 0.4587 0.1971
Pr 0.0544 0.7311 0.1088
Mg 0.5000 0.0000 0.0000
In 0.7750 0.3550 0.5499
In 0.2250 0.6450 0.4501

Output
- formation enthalpy at 0 K (eV/atom) = -0.17
- final energy (eV/atom) = -4.287